1.
Compound: Li4Ga5Ru
Source: Alexandria via LeMat-Bulk
Functional: PBE
Structure: relaxed

Cell and atoms, written as CIF:
```
data_Li4Ga5Ru
_symmetry_space_group_name_H-M 'P 1'
_symmetry_Int_Tables_number 1
_cell_length_a 3.142
_cell_length_b 3.142
_cell_length_c 15.170
_cell_angle_alpha 90.00
_cell_angle_beta 90.00
_cell_angle_gamma 90.00
loop_
_symmetry_equiv_pos_as_xyz
'x,y,z'
loop_
_atom_site_label
_atom_site_fract_x
_atom_site_fract_y
_atom_site_fract_z
Ru1 0.000 0.000 0.000
Ga1 0.500 0.500 0.500
Ga2 0.500 0.500 0.908
Ga3 0.500 0.500 0.292
Li1 0.000 0.000 0.604
Li2 0.000 0.000 0.396
Ga4 0.500 0.500 0.708
Li3 0.000 0.000 0.191
Li4 0.000 0.000 0.809
Ga5 0.500 0.500 0.092
```

Output
density of states at the Fermi level = 3.76 states/eV/cell
energy of formation from the pure elements = -0.30 eV/atom

2.
Compound: V6FeW
Source: Alexandria via LeMat-Bulk
Functional: PBE
Structure: relaxed

Cell and atoms, written as CIF:
```
data_V6FeW
_symmetry_space_group_name_H-M 'P 1'
_symmetry_Int_Tables_number 1
_cell_length_a 6.730
_cell_length_b 6.730
_cell_length_c 4.760
_cell_angle_alpha 45.06
_cell_angle_beta 45.02
_cell_angle_gamma 60.00
loop_
_symmetry_equiv_pos_as_xyz
'x,y,z'
loop_
_atom_site_label
_atom_site_fract_x
_atom_site_fract_y
_atom_site_fract_z
V1 0.243 0.000 0.257
Fe1 0.000 0.000 0.000
V2 0.000 0.500 0.743
V3 0.500 0.243 0.257
V4 0.757 0.000 0.743
V5 0.000 0.500 0.257
W1 0.500 0.500 0.500
V6 0.500 0.757 0.743
```

Output
density of states at the Fermi level = 9.31 states/eV/cell
energy of formation from the pure elements = -0.03 eV/atom

3.
Compound: CaInHg
Source: Alexandria via LeMat-Bulk
Functional: PBE
Structure: relaxed

Cell and atoms, written as CIF:
```
data_CaInHg
_symmetry_space_group_name_H-M 'P 1'
_symmetry_Int_Tables_number 1
_cell_length_a 4.902
_cell_length_b 6.189
_cell_length_c 6.298
_cell_angle_alpha 74.54
_cell_angle_beta 67.10
_cell_angle_gamma 66.67
loop_
_symmetry_equiv_pos_as_xyz
'x,y,z'
loop_
_atom_site_label
_atom_site_fract_x
_atom_site_fract_y
_atom_site_fract_z
Ca1 0.964 0.780 0.293
Hg1 0.335 0.632 0.699
In1 0.664 0.786 0.886
Ca2 0.036 0.220 0.707
In2 0.336 0.214 0.114
Hg2 0.665 0.368 0.301
```

Output
density of states at the Fermi level = 2.41 states/eV/cell
energy of formation from the pure elements = -0.45 eV/atom

4.
Compound: Li3Dy2BiS6
Source: Alexandria via LeMat-Bulk
Functional: PBE
Structure: relaxed

Cell and atoms, written as CIF:
```
data_Li3Dy2BiS6
_symmetry_space_group_name_H-M 'P 1'
_symmetry_Int_Tables_number 1
_cell_length_a 6.830
_cell_length_b 6.830
_cell_length_c 6.621
_cell_angle_alpha 99.92
_cell_angle_beta 99.92
_cell_angle_gamma 120.01
loop_
_symmetry_equiv_pos_as_xyz
'x,y,z'
loop_
_atom_site_label
_atom_site_fract_x
_atom_site_fract_y
_atom_site_fract_z
Li1 0.162 0.838 0.500
S1 0.744 0.744 0.255
S2 0.426 0.085 0.253
Li2 0.838 0.162 0.500
S3 0.915 0.574 0.747
S4 0.574 0.915 0.747
Bi1 0.000 0.000 0.000
Dy1 0.333 0.667 0.000
S5 0.256 0.256 0.745
Dy2 0.667 0.333 0.000
S6 0.085 0.426 0.253
Li3 0.500 0.500 0.500
```

Output
formation energy without anion corrections = -1.48 eV per atom
density of states at the Fermi level = 0.00 states/eV/cell

5.
Compound: Dy4BiPSe2
Source: Alexandria via LeMat-Bulk
Functional: PBE
Structure: relaxed

Cell and atoms, written as CIF:
```
data_Dy4BiPSe2
_symmetry_space_group_name_H-M 'P 1'
_symmetry_Int_Tables_number 1
_cell_length_a 4.149
_cell_length_b 7.158
_cell_length_c 7.323
_cell_angle_alpha 70.60
_cell_angle_beta 90.00
_cell_angle_gamma 90.00
loop_
_symmetry_equiv_pos_as_xyz
'x,y,z'
loop_
_atom_site_label
_atom_site_fract_x
_atom_site_fract_y
_atom_site_fract_z
Dy1 0.500 0.739 0.273
P1 0.000 0.500 0.500
Dy2 0.000 0.753 0.725
Se1 0.500 0.000 0.500
Se2 0.000 0.000 0.000
Dy3 0.500 0.261 0.727
Dy4 0.000 0.247 0.275
Bi1 0.500 0.500 0.000
```

Output
formation energy without anion corrections = -1.49 eV per atom
density of states at the Fermi level = 3.44 states/eV/cell

6.
Compound: Rb2PdBr4
Source: Alexandria via LeMat-Bulk
Functional: PBE
Structure: relaxed

Cell and atoms, written as CIF:
```
data_Rb2PdBr4
_symmetry_space_group_name_H-M 'P 1'
_symmetry_Int_Tables_number 1
_cell_length_a 5.354
_cell_length_b 5.354
_cell_length_c 9.228
_cell_angle_alpha 73.13
_cell_angle_beta 73.13
_cell_angle_gamma 90.00
loop_
_symmetry_equiv_pos_as_xyz
'x,y,z'
loop_
_atom_site_label
_atom_site_fract_x
_atom_site_fract_y
_atom_site_fract_z
Br1 0.500 0.000 0.000
Br2 0.000 0.500 0.000
Pd1 0.000 0.000 0.000
Rb1 0.637 0.637 0.725
Rb2 0.363 0.363 0.275
Br3 0.847 0.847 0.307
Br4 0.153 0.153 0.693
```

Output
formation energy without anion corrections = -1.14 eV per atom
density of states at the Fermi level = 0.44 states/eV/cell

7.
Compound: Cs4Tl3Au2
Source: Alexandria via LeMat-Bulk
Functional: PBE
Structure: relaxed

Cell and atoms, written as CIF:
```
data_Cs4Tl3Au2
_symmetry_space_group_name_H-M 'P 1'
_symmetry_Int_Tables_number 1
_cell_length_a 4.806
_cell_length_b 9.046
_cell_length_c 10.245
_cell_angle_alpha 107.02
_cell_angle_beta 103.56
_cell_angle_gamma 90.00
loop_
_symmetry_equiv_pos_as_xyz
'x,y,z'
loop_
_atom_site_label
_atom_site_fract_x
_atom_site_fract_y
_atom_site_fract_z
Cs1 0.768 0.312 0.537
Tl1 0.000 0.500 0.000
Tl2 0.904 0.741 0.808
Cs2 0.232 0.688 0.463
Au1 0.412 0.557 0.823
Cs3 0.423 0.125 0.846
Tl3 0.096 0.259 0.192
Cs4 0.577 0.875 0.154
Au2 0.588 0.443 0.177
```

Output
density of states at the Fermi level = 5.64 states/eV/cell
energy of formation from the pure elements = -0.15 eV/atom

8.
Compound: NdUGa2Pt5
Source: Alexandria via LeMat-Bulk
Functional: PBE
Structure: relaxed

Cell and atoms, written as CIF:
```
data_NdUGa2Pt5
_symmetry_space_group_name_H-M 'P 1'
_symmetry_Int_Tables_number 1
_cell_length_a 4.239
_cell_length_b 4.239
_cell_length_c 9.369
_cell_angle_alpha 90.00
_cell_angle_beta 90.00
_cell_angle_gamma 90.00
loop_
_symmetry_equiv_pos_as_xyz
'x,y,z'
loop_
_atom_site_label
_atom_site_fract_x
_atom_site_fract_y
_atom_site_fract_z
Pt1 0.500 0.000 0.271
Pt2 0.500 0.000 0.729
U1 0.000 0.000 0.000
Pt3 0.000 0.500 0.729
Ga1 0.500 0.500 0.869
Nd1 0.000 0.000 0.500
Pt4 0.000 0.500 0.271
Pt5 0.500 0.500 0.500
Ga2 0.500 0.500 0.131
```

Output
density of states at the Fermi level = 11.04 states/eV/cell
energy of formation from the pure elements = -0.69 eV/atom

9.
Compound: Pm2Zn5Hg
Source: Alexandria via LeMat-Bulk
Functional: PBE
Structure: relaxed

Cell and atoms, written as CIF:
```
data_Pm2Zn5Hg
_symmetry_space_group_name_H-M 'P 1'
_symmetry_Int_Tables_number 1
_cell_length_a 4.413
_cell_length_b 8.579
_cell_length_c 9.060
_cell_angle_alpha 90.00
_cell_angle_beta 90.00
_cell_angle_gamma 104.91
loop_
_symmetry_equiv_pos_as_xyz
'x,y,z'
loop_
_atom_site_label
_atom_site_fract_x
_atom_site_fract_y
_atom_site_fract_z
Zn1 0.605 0.210 0.750
Zn2 0.816 0.632 0.391
Pm1 0.000 0.000 0.000
Zn3 0.656 0.311 0.481
Zn4 0.184 0.368 0.609
Hg1 0.554 0.107 0.250
Zn5 0.395 0.790 0.250
Pm2 0.000 0.000 0.500
Zn6 0.344 0.689 0.519
Hg2 0.446 0.893 0.750
Zn7 0.816 0.632 0.109
Pm3 0.205 0.409 0.250
Zn8 0.656 0.311 0.019
Pm4 0.795 0.591 0.750
Zn9 0.184 0.368 0.891
Zn10 0.344 0.689 0.981
```

Output
density of states at the Fermi level = 9.18 states/eV/cell
energy of formation from the pure elements = -0.35 eV/atom

10.
Compound: CuSn2Pb2
Source: Alexandria via LeMat-Bulk
Functional: PBE
Structure: relaxed

Cell and atoms, written as CIF:
```
data_CuSn2Pb2
_symmetry_space_group_name_H-M 'P 1'
_symmetry_Int_Tables_number 1
_cell_length_a 7.147
_cell_length_b 7.147
_cell_length_c 5.486
_cell_angle_alpha 90.00
_cell_angle_beta 90.00
_cell_angle_gamma 90.00
loop_
_symmetry_equiv_pos_as_xyz
'x,y,z'
loop_
_atom_site_label
_atom_site_fract_x
_atom_site_fract_y
_atom_site_fract_z
Cu1 0.000 0.000 0.000
Sn1 0.161 0.661 0.500
Sn2 0.339 0.161 0.500
Sn3 0.839 0.339 0.500
Pb1 0.842 0.658 0.000
Pb2 0.658 0.158 0.000
Pb3 0.342 0.842 0.000
Pb4 0.158 0.342 0.000
Cu2 0.500 0.500 0.000
Sn4 0.661 0.839 0.500
```

Output
density of states at the Fermi level = 4.80 states/eV/cell
energy of formation from the pure elements = 0.26 eV/atom